Record 1
! PBE SrIn2SnHg2, relaxed; values from VASP
! ΔE_f = 0.013 eV/atom
&SYSTEM
  ibrav = 0, nat = 6, ntyp = 4
/
ATOMIC_SPECIES
Sr 87.62 Sr.upf
In 114.82 In.upf
Sn 118.71 Sn.upf
Hg 200.59 Hg.upf
ATOMIC_POSITIONS angstrom
Sr -1.485 -3.682 1.040
In 1.488 -1.910 3.460
In -2.313 -0.362 3.515
Sn 0.000 0.000 0.000
Hg -1.131 -2.927 4.220
Hg 0.306 0.654 2.754
CELL_PARAMETERS angstrom
-5.285 -2.134 1.095
2.316 -5.230 0.985
2.145 5.092 4.894


Record 2
! PBE Sr2InSn3Hg4, relaxed; values from VASP
! ΔE_f = -0.308 eV/atom
&SYSTEM
  ibrav = 0, nat = 10, ntyp = 4
/
ATOMIC_SPECIES
Sr 87.62 Sr.upf
In 114.82 In.upf
Sn 118.71 Sn.upf
Hg 200.59 Hg.upf
ATOMIC_POSITIONS angstrom
Sr -3.535 -0.911 -1.184
Sr -7.476 -5.714 2.795
In -5.613 -4.349 -0.552
Sn -5.398 -2.276 2.164
Sn -10.294 -3.760 1.526
Sn -0.717 -2.865 0.086
Hg -0.214 -2.074 -2.716
Hg 0.000 0.000 0.000
Hg -7.876 -2.741 0.557
Hg -3.135 -3.884 1.055
CELL_PARAMETERS angstrom
-1.923 0.348 -4.430
1.494 -4.496 -1.002
-10.797 -4.551 4.328


Record 3
! PBE Sr2InSn2Hg4, relaxed; values from VASP
! ΔE_f = -0.323 eV/atom
&SYSTEM
  ibrav = 0, nat = 9, ntyp = 4
/
ATOMIC_SPECIES
Sr 87.62 Sr.upf
In 114.82 In.upf
Sn 118.71 Sn.upf
Hg 200.59 Hg.upf
ATOMIC_POSITIONS angstrom
Sr 2.985 -3.125 -0.937
Sr 3.441 0.440 2.743
In 0.000 0.000 0.000
Sn 6.622 1.267 -2.048
Sn 2.834 0.542 -0.876
Hg 4.526 -0.671 -3.089
Hg 5.479 -0.683 -0.017
Hg 4.929 2.481 0.165
Hg 0.947 -2.003 1.823
CELL_PARAMETERS angstrom
-3.030 -4.495 4.730
4.272 -2.660 -5.141
5.184 4.469 2.217


Record 4
! PBE Sr2In3SnHg4, relaxed; values from VASP
! ΔE_f = -0.303 eV/atom
&SYSTEM
  ibrav = 0, nat = 10, ntyp = 4
/
ATOMIC_SPECIES
Sr 87.62 Sr.upf
In 114.82 In.upf
Sn 118.71 Sn.upf
Hg 200.59 Hg.upf
ATOMIC_POSITIONS angstrom
Sr 2.430 0.000 3.021
Sr 0.000 2.430 9.199
In 0.000 0.000 6.110
In 2.430 0.000 10.613
In 0.000 2.430 1.607
Sn 2.430 2.430 6.110
Hg 2.430 2.430 0.000
Hg 0.000 0.000 0.000
Hg 2.430 0.000 7.847
Hg 0.000 2.430 4.373
CELL_PARAMETERS angstrom
4.860 0.000 0.000
0.000 4.860 0.000
0.000 0.000 12.220


Record 5
! PBE SrIn2Sn2Hg, relaxed; values from VASP
! ΔE_f = -0.192 eV/atom
&SYSTEM
  ibrav = 0, nat = 12, ntyp = 4
/
ATOMIC_SPECIES
Sr 87.62 Sr.upf
In 114.82 In.upf
Sn 118.71 Sn.upf
Hg 200.59 Hg.upf
ATOMIC_POSITIONS angstrom
Sr 2.454 3.437 0.000
Sr 0.000 0.000 5.716
In 2.454 1.520 3.565
In 0.000 4.958 2.150
In 2.454 5.354 7.866
In 0.000 1.917 9.281
Sn 2.454 5.367 3.631
Sn 2.454 1.507 7.800
Sn 0.000 4.945 9.347
Sn 0.000 1.930 2.084
Hg 0.000 0.000 0.000
Hg 2.454 3.437 5.716
CELL_PARAMETERS angstrom
4.909 0.000 0.000
0.000 6.874 0.000
0.000 0.000 11.431


Record 6
! PBE TbInSnHg, relaxed; values from VASP
! relative energy among the computed polymorphs = 0 meV/atom
! ΔE_f = -0.446 eV/atom
&SYSTEM
  ibrav = 0, nat = 4, ntyp = 4
/
ATOMIC_SPECIES
Tb 158.93 Tb.upf
In 114.82 In.upf
Sn 118.71 Sn.upf
Hg 200.59 Hg.upf
ATOMIC_POSITIONS angstrom
Tb -0.947 2.979 0.805
In 1.222 1.389 2.738
Sn 0.000 0.000 0.000
Hg -1.862 0.435 2.705
CELL_PARAMETERS angstrom
-4.030 2.025 0.772
0.307 -1.156 4.638
2.137 3.933 0.839


Record 7
! PBE TbInSnHg, relaxed; values from VASP
! relative energy among the computed polymorphs = 200 meV/atom
! ΔE_f = -0.246 eV/atom
&SYSTEM
  ibrav = 0, nat = 4, ntyp = 4
/
ATOMIC_SPECIES
In 114.82 In.upf
Tb 158.93 Tb.upf
Hg 200.59 Hg.upf
Sn 118.71 Sn.upf
ATOMIC_POSITIONS angstrom
In 5.308 3.065 2.167
Tb 0.000 0.000 0.000
Hg 7.962 4.597 3.250
Sn 2.654 1.532 1.083
CELL_PARAMETERS angstrom
5.308 0.000 0.000
2.654 4.597 0.000
2.654 1.532 4.334


Record 8
! PBE In2TcSnHg, relaxed; values from VASP
! ΔE_f = 0.146 eV/atom
&SYSTEM
  ibrav = 0, nat = 5, ntyp = 4
/
ATOMIC_SPECIES
Tc 98.00 Tc.upf
In 114.82 In.upf
Hg 200.59 Hg.upf
Sn 118.71 Sn.upf
ATOMIC_POSITIONS angstrom
Tc 0.000 0.000 0.000
In 1.623 -2.002 -0.570
In -1.180 -0.289 -2.344
Hg -1.229 -3.944 -1.868
Sn -1.672 -1.653 1.046
CELL_PARAMETERS angstrom
-2.360 -0.578 -4.687
3.246 -4.004 -1.140
-3.344 -3.307 2.091


Record 9
! PBE InSnHgTe, relaxed; values from VASP
! relative energy among the computed polymorphs = 0 meV/atom
&SYSTEM
  ibrav = 0, nat = 8, ntyp = 4
/
ATOMIC_SPECIES
In 114.82 In.upf
Sn 118.71 Sn.upf
Hg 200.59 Hg.upf
Te 127.60 Te.upf
ATOMIC_POSITIONS angstrom
In -4.970 -2.442 -1.067
In -13.387 -0.006 4.482
Sn -11.424 -2.514 1.016
Sn -6.934 0.067 2.400
Hg -16.240 -1.120 4.192
Hg -2.117 -1.328 -0.776
Te -10.340 1.053 4.645
Te -8.017 -3.500 -1.230
CELL_PARAMETERS angstrom
-2.427 -0.814 -3.323
-1.512 -3.867 -0.596
-14.419 2.233 7.334


Record 10
! PBE InSnHgTe, relaxed; values from VASP
! relative energy among the computed polymorphs = 74 meV/atom
&SYSTEM
  ibrav = 0, nat = 4, ntyp = 4
/
ATOMIC_SPECIES
Te 127.60 Te.upf
In 114.82 In.upf
Hg 200.59 Hg.upf
Sn 118.71 Sn.upf
ATOMIC_POSITIONS angstrom
Te 5.480 3.164 2.237
In 8.220 4.746 3.356
Hg 0.000 0.000 0.000
Sn 2.740 1.582 1.119
CELL_PARAMETERS angstrom
5.480 0.000 0.000
2.740 4.746 0.000
2.740 1.582 4.474


Record 11
! PBE TlInSnHg, relaxed; values from VASP
! ΔE_f = 0.013 eV/atom
&SYSTEM
  ibrav = 0, nat = 4, ntyp = 4
/
ATOMIC_SPECIES
Tl 204.38 Tl.upf
In 114.82 In.upf
Sn 118.71 Sn.upf
Hg 200.59 Hg.upf
ATOMIC_POSITIONS angstrom
Tl 3.554 8.245 2.789
In 0.694 4.806 1.481
Sn 2.358 5.355 4.274
Hg -0.345 2.101 3.042
CELL_PARAMETERS angstrom
-2.217 2.330 -1.284
-1.599 0.165 3.067
5.709 6.872 2.601


Record 12
! PBE Tl2In2SnHg2, relaxed; values from VASP
! ΔE_f = 0.037 eV/atom
&SYSTEM
  ibrav = 0, nat = 7, ntyp = 4
/
ATOMIC_SPECIES
Tl 204.38 Tl.upf
In 114.82 In.upf
Sn 118.71 Sn.upf
Hg 200.59 Hg.upf
ATOMIC_POSITIONS angstrom
Tl -2.569 -4.285 2.040
Tl -8.345 -3.088 4.513
In -5.573 -1.906 2.983
In -5.341 -5.467 3.570
Sn 0.000 0.000 0.000
Hg -8.134 -6.318 5.045
Hg -2.780 -1.055 1.508
CELL_PARAMETERS angstrom
-3.138 0.524 4.423
-5.414 -0.425 -0.435
-2.362 -7.472 2.566


Ordered total magnetization results: 0.0; 0.0; 0.0; 0.0; 0.0; 0.0; 0.0; 0.0; 0.0; 0.0; 0.0; 0.0; unit μB per formula unit.